# ThSi2TcOs

A relaxed structure of ThSi2TcOs (GGA-PBE, the Alexandria database).

Values from the calculation:
DFT total energy: -8.71 eV per atom
ΔE_f (raw): -0.73 eV per atom

POSCAR file:
```
ThSi2TcOs
1.0
4.2593 0.0000 0.0000
0.0000 4.2593 0.0000
-2.1296 -2.1296 4.8795
Tc Os Si Th
1 1 2 1
Cartesian
2.1296 0.0000 2.4398
0.0000 2.1296 2.4398
0.0000 0.0000 3.5956
2.1296 2.1296 1.2839
0.0000 0.0000 0.0000
```

---

# Be2CuPdRu

A relaxed structure of Be2CuPdRu (GGA-PBE, the Alexandria database).

Values from the calculation:
DFT total energy: -4.31 eV per atom
Energy of formation from the pure elements: 0.897 eV per atom

POSCAR file:
```
Be2CuPdRu
1.0
-2.8330 -1.4867 2.3725
-1.7749 -2.1785 -3.4845
2.3119 -3.1460 0.7893
Cu Be Ru Pd
1 2 1 1
Cartesian
0.0000 0.0000 0.0000
-1.4165 -0.7434 1.1863
1.1560 -1.5730 0.3946
-1.1480 -3.4056 -0.1614
-0.8874 -1.0893 -1.7423
```

---

# SiHgCl2

A relaxed structure of SiHgCl2 (GGA-PBE, the Alexandria database).

Values from the calculation:
DFT total energy: -2.49 eV per atom
ΔE_f (raw): -0.14 eV per atom
Distance to the lowest polymorph of the same formula: 0.2720 eV per atom

POSCAR file:
```
SiHgCl2
1.0
-1.6498 -0.9537 -2.7148
-0.6207 -2.9371 1.4090
-8.2538 3.5519 3.7681
Cl Hg Si
2 1 1
Cartesian
-4.8775 2.0990 2.2267
-7.5032 3.2289 3.4255
-3.1987 -1.0574 0.2891
-7.3256 0.7186 2.1732
```

---

# ZrTcRu2

A relaxed structure of ZrTcRu2 (GGA-PBE, the Alexandria database).

Values from the calculation:
DFT total energy: -9.34 eV per atom
Energy of formation from the pure elements: 0.024 eV per atom
Distance to the lowest polymorph of the same formula: 0.0835 eV per atom

POSCAR file:
```
ZrTcRu2
1.0
5.2454 -0.0078 -0.0011
2.3615 4.6837 0.0011
-3.3265 -3.1139 2.5985
Ru Tc Zr
2 1 1
Cartesian
1.4780 1.9900 1.2998
7.5527 4.6426 0.0000
3.8204 2.3484 0.0000
2.8398 -0.4051 1.2987
```

---

# ThTcSb2

A relaxed structure of ThTcSb2 (GGA-PBE, the Alexandria database).

Values from the calculation:
DFT total energy: -6.04 eV per atom
ΔE_f (raw): 0.46 eV per atom

POSCAR file:
```
ThTcSb2
1.0
-0.4214 0.6689 -3.1844
-2.7274 -0.9836 -1.5360
-5.8562 9.1833 1.0135
Th Sb Tc
1 2 1
Cartesian
-4.5025 4.4343 -1.8534
-4.3209 1.9501 -4.0896
-4.6842 6.9184 0.3827
0.0000 0.0000 0.0000
```

---

# Sm3Ho4In2

A relaxed structure of Sm3Ho4In2 (GGA-PBE, the Alexandria database).

Values from the calculation:
DFT total energy: -4.38 eV per atom
Energy of formation from the pure elements: -0.168 eV per atom

POSCAR file:
```
Sm3Ho4In2
1.0
4.9430 0.0000 0.0000
0.0000 7.6182 0.6078
-2.4715 -3.0041 6.9301
Ho In Sm
4 2 3
Cartesian
0.0000 1.0809 3.2543
2.4715 2.1629 0.9929
2.4715 3.5332 4.2836
0.0000 2.4512 6.5450
0.0000 -2.0385 4.7069
2.4715 6.6526 2.8310
0.0000 4.4468 2.0013
2.4715 0.1673 5.5366
0.0000 0.0000 0.0000
```